The following is a PBE-GGA calculation of an optimized crystal structure of CdHgOs2, from the Alexandria database.

Unit cell a=9.6373 b=2.8811 c=5.0403 alpha=90.00 beta=100.45 gamma=90.00
Space group C2/m (No. 12)
Unique sites:
Cd  0.0000  0.0000  0.0000 [2 per cell]
Hg  0.0000  0.5000  0.5000 [2 per cell]
Os  0.2494  0.5000  0.2227 [4 per cell]

* raw total energy: -5.104 eV/atom
* V: 138 Å³ per cell